No. 1
This record from the Alexandria database describes a relaxed structure of CuSnPd2. The functional is PBE.

Output
* energy of formation from the pure elements: 0.375 eV/atom

a b c (Å): 5.8256 5.8256 11.4324
angles (deg): 90.00 90.00 90.00
Closest atoms and distances in Å follow each position.
Space group I-42d (No. 122)
Inequivalent atoms, fractional coordinates:
Cu 0.0000 0.0000 0.0000  4 Pd 2.43
Sn 0.0000 0.0000 0.5000  4 Pd 2.59
Pd 0.2253 0.2500 0.1250  2 Cu 2.43, 2 Sn 2.59

---

No. 2
This record from the Alexandria database describes a relaxed structure of Sm4DyTm3S8. The functional is PBE.

a b c (Å): 7.8089 7.8089 19.5877
angles (deg): 90.00 90.00 120.00
Closest atoms and distances in Å follow each position.
Space group R-3m (No. 166, hexagonal axes)
Inequivalent atoms, fractional coordinates:
Sm 0.0000 0.0000 0.0000  6 S 2.83
Sm 0.0000 0.5000 0.0000  6 S 2.85
Dy 0.0000 0.0000 0.5000  6 S 2.74
Tm 0.0000 0.5000 0.5000  6 S 2.72
S 0.0000 0.0000 0.2443  3 Tm 2.72, 3 Sm 2.85
S 0.0030 0.5015 0.7551  2 Tm 2.72, 1 Dy 2.74, 3 Sm 2.83-2.85

---

No. 3
This record from the Alexandria database describes a relaxed structure of KTcMo. The functional is PBE.

Output
* energy of formation from the pure elements: 1.455 eV/atom

a b c (Å): 4.9954 4.9954 2.5928
angles (deg): 90.00 90.00 120.00
Closest atoms and distances in Å follow each position.
Space group P3m1 (No. 156)
Inequivalent atoms, fractional coordinates:
K 0.0000 0.0000 0.0000  2 K 2.59
Tc 0.3333 0.6667 0.6045  2 Tc 2.59
Mo 0.6667 0.3333 0.3871  2 Mo 2.59

---

No. 4
This record from the Alexandria database describes a relaxed structure of ZnPOsO2. The functional is PBE.

a b c (Å): 3.5626 3.5626 6.3762
angles (deg): 90.00 90.00 90.00
Closest atoms and distances in Å follow each position.
Space group P4/mmm (No. 123)
Inequivalent atoms, fractional coordinates:
Zn 0.0000 0.0000 0.0000  4 O 1.78
P 0.0000 0.0000 0.5000  4 Os 2.52
Os 0.5000 0.5000 0.5000  4 P 2.52
O 0.0000 0.5000 0.0000  2 Zn 1.78

---

No. 5
This record from the Alexandria database describes a relaxed structure of Tb6PrTm3. The functional is PBE.

Output
* energy of formation from the pure elements: 0.262 eV/atom

a b c (Å): 9.7787 9.7787 11.8156
angles (deg): 90.00 90.00 120.00
Closest atoms and distances in Å follow each position.
Space group R3 (No. 146, hexagonal axes)
Inequivalent atoms, fractional coordinates:
Tb 0.9996 0.3323 0.0000  1 Pr 3.27, 2 Tm 3.39
Tb 0.0026 0.6675 0.4999  3 Tm 3.24-3.43
Pr 0.0000 0.0000 0.3341  2 Tm 2.99-3.02, 3 Tb 3.27
Tm 0.0000 0.0000 0.0810  1 Tm 2.91, 1 Pr 2.99
Tm 0.0000 0.0000 0.5897  1 Tm 2.90, 1 Pr 3.02
Tm 0.0000 0.0000 0.8348  2 Tm 2.90-2.91, 3 Tb 3.24

---

No. 6
This record from the Alexandria database describes a relaxed structure of CaHo2VN4. The functional is PBE.

a b c (Å): 3.3875 11.6577 11.7573
angles (deg): 90.00 90.00 90.00
Closest atoms and distances in Å follow each position.
Space group Cmcm (No. 63)
Inequivalent atoms, fractional coordinates:
Ca 0.0000 0.0948 0.2500  6 N 2.70-2.80
Ho 0.0000 0.3707 0.0408  6 N 2.32-2.51
V 0.0000 0.1723 0.7500  4 N 1.81-1.97
N 0.0000 0.0000 0.0000  4 Ho 2.32
N 0.0000 0.2614 0.6243  1 V 1.81
N 0.0000 0.4142 0.2500  2 V 1.97

---

No. 7
This record from the Alexandria database describes a relaxed structure of Pm3Ho5Pb2. The functional is PBE.

Output
* energy of formation from the pure elements: 0.003 eV/atom

a b c (Å): 12.8306 15.7862 6.4214
angles (deg): 90.00 90.00 90.00
Closest atoms and distances in Å follow each position.
Space group Ibam (No. 72)
Inequivalent atoms, fractional coordinates:
Pm 0.0000 0.0000 0.2500  2 Pm 3.21, 2 Ho 3.25, 4 Pb 3.38
Pm 0.1247 0.2252 0.0000  4 Ho 3.41-3.68, 4 Pb 3.43-3.62
Ho 0.0000 0.5000 0.2500  8 Ho 3.16-3.30
Ho 0.1026 0.3374 0.5000  1 Pb 3.01, 2 Ho 3.30
Ho 0.2465 0.5000 0.2500  3 Ho 3.16-3.21, 2 Pb 3.19, 1 Pm 3.25
Pb 0.1417 0.1492 0.5000  3 Ho 3.01-3.19

---

No. 8
This record from the Alexandria database describes a relaxed structure of GeBrNF2. The functional is PBE.

a b c (Å): 4.8883 4.8883 3.6544
angles (deg): 90.00 90.00 90.00
Closest atoms and distances in Å follow each position.
Space group P4/mmm (No. 123)
Inequivalent atoms, fractional coordinates:
Ge 0.0000 0.0000 0.0000  8 F 3.05
Br 0.5000 0.5000 0.5000  2 N 1.83
N 0.5000 0.5000 0.0000  2 Br 1.83
F 0.0000 0.5000 0.5000  2 Br 2.44

---

No. 9
This record from the Alexandria database describes a relaxed structure of LaTa3V. The functional is PBE.

Output
* energy of formation from the pure elements: 2.356 eV/atom

a b c (Å): 4.8962 4.8962 4.8962
angles (deg): 90.00 90.00 90.00
Closest atoms and distances in Å follow each position.
Space group Pm-3m (No. 221)
Inequivalent atoms, fractional coordinates:
La 0.0000 0.0000 0.0000  6 Ta 2.45
Ta 0.0000 0.0000 0.5000  2 La 2.45
V 0.5000 0.5000 0.5000  12 Ta 3.46

---

No. 10
This record from the Alexandria database describes a relaxed structure of Y2TiOsC. The functional is PBE.

Output
* energy of formation from the pure elements: 1.229 eV/atom

a b c (Å): 5.3244 5.3244 3.7733
angles (deg): 90.00 90.00 90.00
Closest atoms and distances in Å follow each position.
Space group P4/mmm (No. 123)
Inequivalent atoms, fractional coordinates:
Y 0.0000 0.5000 0.0000  2 Ti 2.66
Ti 0.0000 0.0000 0.0000  2 C 1.89
Os 0.5000 0.5000 0.5000  8 Y 3.26
C 0.0000 0.0000 0.5000  2 Ti 1.89

---

No. 11
This record from the Alexandria database describes a relaxed structure of LaCr2Cu. The functional is PBE.

Output
* energy of formation from the pure elements: 1.011 eV/atom

a b c (Å): 5.4207 9.0482 2.6633
angles (deg): 90.00 90.00 90.00
Closest atoms and distances in Å follow each position.
Space group Cmmm (No. 65)
Inequivalent atoms, fractional coordinates:
La 0.0000 0.0000 0.0000  2 La 2.66, 2 Cu 2.71, 8 Cr 2.95
Cr 0.2500 0.2500 0.5000  4 Cr 2.66-2.71, 4 La 2.95, 4 Cu 2.95
Cu 0.0000 0.5000 0.0000  2 Cu 2.66, 2 La 2.71, 8 Cr 2.95

---

No. 12
This record from the Alexandria database describes a relaxed structure of BaZrIn2. The functional is PBE.

Output
* energy of formation from the pure elements: -0.246 eV/atom

a b c (Å): 3.3948 4.3421 7.8238
angles (deg): 90.00 90.00 90.00
Closest atoms and distances in Å follow each position.
Space group Pmmm (No. 47)
Inequivalent atoms, fractional coordinates:
Ba 0.0000 0.0000 0.0000  2 Ba 3.39, 8 In 3.65
Zr 0.0000 0.0000 0.5000  8 In 3.15, 2 Zr 3.39
In 0.5000 0.5000 0.3051  3 In 3.05-3.39, 4 Zr 3.15

---

No. 13
This record from the Alexandria database describes a relaxed structure of ErLuAgHg. The functional is PBE.

Output
* energy of formation from the pure elements: -0.408 eV/atom

a b c (Å): 7.2533 7.2533 7.2533
angles (deg): 90.00 90.00 90.00
Closest atoms and distances in Å follow each position.
Space group F-43m (No. 216)
Inequivalent atoms, fractional coordinates:
Er 0.0000 0.0000 0.0000  4 Hg 3.14, 4 Ag 3.14
Lu 0.0000 0.0000 0.5000  4 Ag 3.14, 4 Hg 3.14
Ag 0.2500 0.2500 0.2500  4 Er 3.14, 4 Lu 3.14
Hg 0.2500 0.2500 0.7500  4 Lu 3.14, 4 Er 3.14

---

No. 14
This record from the Alexandria database describes a relaxed structure of KOsN2F. The functional is PBE.

a b c (Å): 4.3178 4.3178 4.2746
angles (deg): 90.00 90.00 90.00
Closest atoms and distances in Å follow each position.
Space group P4/mmm (No. 123)
Inequivalent atoms, fractional coordinates:
K 0.0000 0.0000 0.0000  2 F 2.14, 4 N 2.16
Os 0.5000 0.5000 0.5000  8 N 3.04, 4 F 3.05
N 0.0000 0.5000 0.0000  2 K 2.16
F 0.0000 0.0000 0.5000  2 K 2.14

---

No. 15
This record from the Alexandria database describes a relaxed structure of NdZrAgOs. The functional is PBE.

Output
* energy of formation from the pure elements: -0.059 eV/atom

a b c (Å): 6.9698 6.9698 6.9698
angles (deg): 90.00 90.00 90.00
Closest atoms and distances in Å follow each position.
Space group F-43m (No. 216)
Inequivalent atoms, fractional coordinates:
Nd 0.0000 0.0000 0.0000  4 Ag 3.02, 4 Os 3.02
Zr 0.0000 0.0000 0.5000  4 Os 3.02, 4 Ag 3.02
Ag 0.2500 0.2500 0.7500  4 Zr 3.02, 4 Nd 3.02
Os 0.2500 0.2500 0.2500  4 Zr 3.02, 4 Nd 3.02

---

No. 16
This record from the Alexandria database describes a relaxed structure of PrMg2GaPd4. The functional is PBE.

Output
* energy of formation from the pure elements: -0.684 eV/atom

a b c (Å): 4.4606 4.4606 25.9089
angles (deg): 90.00 90.00 120.00
Closest atoms and distances in Å follow each position.
Space group R-3m (No. 166, hexagonal axes)
Inequivalent atoms, fractional coordinates:
Pr 0.0000 0.0000 0.0000  8 Pd 3.13-3.44
Mg 0.0000 0.0000 0.2385  7 Pd 2.66-2.76
Ga 0.0000 0.0000 0.5000  8 Pd 2.55-2.72
Pd 0.0000 0.0000 0.1328  3 Ga 2.72, 4 Mg 2.74-2.76
Pd 0.0000 0.0000 0.4018  1 Ga 2.55, 3 Mg 2.66

---

No. 17
This record from the Alexandria database describes a relaxed structure of CdHPd2. The functional is PBE.

a b c (Å): 7.6636 4.7976 5.8831
angles (deg): 90.00 100.00 90.00
Closest atoms and distances in Å follow each position.
Space group P2_1/c (No. 14)
Inequivalent atoms, fractional coordinates:
Cd 0.1207 0.2370 0.2815  1 H 2.42
H 0.3425 0.6018 0.3182  3 Pd 1.77-1.93
Pd 0.2151 0.7483 0.5477  2 H 1.86-1.93
Pd 0.4451 0.2446 0.6126  1 H 1.77

---

No. 18
This record from the Alexandria database describes a relaxed structure of La2CdCoAg. The functional is PBE.

Output
* energy of formation from the pure elements: -0.169 eV/atom

a b c (Å): 5.2026 5.2026 5.0364
angles (deg): 90.00 90.00 90.00
Closest atoms and distances in Å follow each position.
Space group P4/mmm (No. 123)
Inequivalent atoms, fractional coordinates:
La 0.0000 0.5000 0.0000  2 Co 2.60
Cd 0.0000 0.0000 0.5000  2 Co 2.52
Co 0.0000 0.0000 0.0000  2 Cd 2.52, 4 La 2.60
Ag 0.5000 0.5000 0.5000  8 La 3.62, 4 Cd 3.68

---

No. 19
This record from the Alexandria database describes a relaxed structure of Y2Ag2Sn. The functional is PBE.

Output
* energy of formation from the pure elements: -0.112 eV/atom

a b c (Å): 5.6846 5.6846 8.2953
angles (deg): 90.00 90.00 90.00
Closest atoms and distances in Å follow each position.
Space group I4/mmm (No. 139)
Inequivalent atoms, fractional coordinates:
Y 0.0000 0.5000 0.2500  4 Ag 2.95
Ag 0.0000 0.0000 0.1530  1 Ag 2.54
Sn 0.0000 0.0000 0.5000  2 Ag 2.88

---

No. 20
This record from the Alexandria database describes a relaxed structure of K4Cd2P. The functional is PBE.

Output
* energy of formation from the pure elements: 0.003 eV/atom

a b c (Å): 6.4352 6.4352 16.7652
angles (deg): 90.00 90.00 90.00
Closest atoms and distances in Å follow each position.
Space group I4/mmm (No. 139)
Inequivalent atoms, fractional coordinates:
K 0.0000 0.0000 0.1829  1 P 3.07
K 0.0000 0.5000 0.0000  2 P 3.22, 4 Cd 3.59
Cd 0.0000 0.0000 0.4046  1 Cd 3.20
P 0.0000 0.0000 0.0000  6 K 3.07-3.22

---

No. 21
This record from the Alexandria database describes a relaxed structure of La3CdO6. The functional is PBE.

a b c (Å): 9.6115 11.7756 5.8793
angles (deg): 90.00 90.00 90.00
Closest atoms and distances in Å follow each position.
Space group Cmc2_1 (No. 36)
Inequivalent atoms, fractional coordinates:
La 0.0000 0.1052 0.0000  7 O 2.41-2.60
La 0.2011 0.3857 0.0541  6 O 2.37-2.65
Cd 0.0000 0.3374 0.5667  4 O 2.18-2.33
O 0.0000 0.2794 0.2141  1 Cd 2.18, 1 La 2.41
O 0.0000 0.4877 0.8247  2 Cd 2.33-2.50
O 0.1577 0.0130 0.2790  4 La 2.42-2.48
O 0.1600 0.2411 0.7705  1 Cd 2.26, 2 La 2.37-2.42

---

No. 22
This record from the Alexandria database describes a relaxed structure of TbB6Ru6. The functional is PBE.

Output
* energy of formation from the pure elements: 0.160 eV/atom

a b c (Å): 4.7350 7.5160 8.0127
angles (deg): 90.00 90.00 90.00
Closest atoms and distances in Å follow each position.
Space group Immm (No. 71)
Inequivalent atoms, fractional coordinates:
Tb 0.0000 0.0000 0.0000  4 Ru 2.50-2.74
B 0.0000 0.2654 0.5000  6 Ru 2.31-2.48, 4 B 2.33
B 0.2500 0.2500 0.2500  6 Ru 2.28-2.41, 4 B 2.33-2.37
Ru 0.0000 0.0000 0.3425  6 B 2.34-2.36, 1 Ru 2.52
Ru 0.0000 0.3324 0.0000  6 B 2.41-2.48, 1 Tb 2.50, 1 Ru 2.52
Ru 0.0000 0.5000 0.3130  6 B 2.28-2.31

---

No. 23
This record from the Alexandria database describes a relaxed structure of AcTi2SbO8. The functional is PBE.

a b c (Å): 5.7292 5.7292 6.9235
angles (deg): 90.00 90.00 120.00
Closest atoms and distances in Å follow each position.
Space group P-3 (No. 147)
Inequivalent atoms, fractional coordinates:
Ac 0.0000 0.0000 0.0000  6 O 2.66
Ti 0.3333 0.6667 0.7512  4 O 1.72-1.86
Sb 0.0000 0.0000 0.5000  6 O 1.99
O 0.1280 0.3048 0.6846  1 Ti 1.86, 1 Sb 1.99
O 0.3333 0.6667 0.9997  1 Ti 1.72

---

No. 24
This record from the Alexandria database describes a relaxed structure of AlAg2Pb. The functional is PBE.

Output
* energy of formation from the pure elements: 0.109 eV/atom

a b c (Å): 3.4233 3.4233 7.1775
angles (deg): 90.00 90.00 90.00
Closest atoms and distances in Å follow each position.
Space group P4mm (No. 99)
Inequivalent atoms, fractional coordinates:
Al 0.0000 0.0000 0.0000  5 Ag 2.73-2.88
Ag 0.0000 0.0000 0.5990  1 Al 2.88, 4 Ag 2.91, 4 Pb 3.20
Ag 0.5000 0.5000 0.8238  4 Al 2.73, 4 Ag 2.91
Pb 0.5000 0.5000 0.3075  5 Ag 3.20-3.47, 4 Al 3.28, 4 Pb 3.42

---

no.,magnetization (μB per formula unit),E (eV per formula unit)
1,0.00,-16.98
2,0.00,-101.71
3,0.00,-17.93
4,2.69,-24.44
5,0.00,-43.36
6,0.71,-64.21
7,0.00,-44.52
8,0.00,-15.79
9,3.10,-37.82
10,0.00,-35.13
11,0.03,-24.22
12,0.00,-16.93
13,0.00,-13.87
14,3.48,-17.00
15,0.00,-27.63
16,0.00,-37.23
17,0.00,-15.45
18,0.00,-21.57
19,0.00,-23.19
20,0.00,-11.61
21,1.10,-72.70
22,0.00,-98.27
23,0.00,-94.88
24,0.00,-12.72